{
  "formula": "NiWBr2",
  "functional": "PBE",
  "state": "relaxed",
  "cell": [[3.221, 0.000, 0.000], [0.000, 3.221, 0.000], [0.000, 0.000, 6.339]],
  "species": ["Ni", "W", "Br", "Br"],
  "frac_coords": [[0.000, 0.000, 0.000], [0.000, 0.000, 0.500], [0.500, 0.500, 0.250], [0.500, 0.500, 0.750]],
  "de_polymorph_mev_per_atom": 906,
  "rho_g_cm3": 10.2,
  "e_form_raw_kcal_per_mol_atoms": 24.186,
  "dos_ef_per_ev_atom": 0.7924,
  "spacegroup": "P4/mmm (123)"
}

=====

{
  "formula": "NiW2Br",
  "functional": "PBE",
  "state": "relaxed",
  "cell": [[2.947, 0.000, 0.000], [0.000, 3.331, 0.000], [0.000, 0.000, 6.788]],
  "species": ["Ni", "W", "W", "Br"],
  "frac_coords": [[0.000, 0.000, 0.000], [0.500, 0.500, 0.188], [0.500, 0.500, 0.812], [0.000, 0.000, 0.500]],
  "de_polymorph_mev_per_atom": 313,
  "rho_g_cm3": 12.6,
  "e_form_raw_kcal_per_mol_atoms": 18.291,
  "dos_ef_per_ev_atom": 1.0420,
  "spacegroup": "Pmmm (47)"
}

=====

{
  "formula": "NiWBr2",
  "functional": "PBE",
  "state": "relaxed",
  "cell": [[-1.866, 1.866, 5.414], [1.866, -1.866, 5.414], [1.866, 1.866, -5.414]],
  "species": ["Ni", "W", "Br", "Br"],
  "frac_coords": [[0.000, 0.000, 0.000], [0.250, 0.750, 0.500], [0.500, 0.500, 0.000], [0.750, 0.250, 0.500]],
  "de_polymorph_mev_per_atom": 1150,
  "rho_g_cm3": 8.9,
  "e_form_raw_kcal_per_mol_atoms": 29.809,
  "dos_ef_per_ev_atom": 1.1411,
  "spacegroup": "I-4m2 (119)"
}

=====

{
  "formula": "NiWBr2",
  "functional": "PBE",
  "state": "relaxed",
  "cell": [[0.000, 3.197, 3.197], [3.197, 0.000, 3.197], [3.197, 3.197, 0.000]],
  "species": ["Ni", "W", "Br", "Br"],
  "frac_coords": [[0.000, 0.000, 0.000], [0.500, 0.500, 0.500], [0.250, 0.250, 0.250], [0.750, 0.750, 0.750]],
  "de_polymorph_mev_per_atom": 956,
  "rho_g_cm3": 10.2,
  "e_form_raw_kcal_per_mol_atoms": 25.333,
  "dos_ef_per_ev_atom": 1.0370,
  "spacegroup": "Fm-3m (225)"
}